# LaAuO2

A relaxed structure of LaAuO2 (PBE-GGA, Alexandria via LeMat-Bulk).

Properties
- DOS(E_F): 0.000 states/eV per atom
- V: 306 Å³/cell
- ΔE_f (raw): -2191 meV/atom

Cell: 6.359 3.859 12.484 Å, 90.00 90.00 90.00°
Element x y z (fractional)
La1 0.500 0.000 0.299
La2 0.500 0.000 0.701
La3 0.000 0.500 0.799
La4 0.000 0.500 0.201
O1 0.738 0.500 0.336
O2 0.262 0.500 0.336
O3 0.738 0.500 0.664
O4 0.238 0.000 0.164
O5 0.262 0.500 0.664
O6 0.238 0.000 0.836
O7 0.762 0.000 0.836
O8 0.762 0.000 0.164
Au1 0.751 0.500 0.500
Au2 0.749 0.000 0.000
Au3 0.249 0.500 0.500
Au4 0.251 0.000 0.000

***

# LaAuO3

A relaxed structure of LaAuO3 (PBE-GGA, Alexandria via LeMat-Bulk).

Properties
- DOS(E_F): 0.000 states/eV per atom
- V: 311 Å³/cell
- ΔE_f (raw): -1892 meV/atom

Cell: 4.069 5.751 13.272 Å, 90.00 90.00 90.00°
Element x y z (fractional)
Au1 0.925 0.250 0.170
Au2 0.075 0.750 0.830
Au3 0.925 0.750 0.330
Au4 0.075 0.250 0.670
La1 0.736 0.250 0.919
La2 0.264 0.750 0.081
La3 0.736 0.750 0.581
La4 0.264 0.250 0.419
O1 0.830 0.500 0.750
O2 0.257 0.004 0.578
O3 0.170 0.000 0.250
O4 0.743 0.004 0.078
O5 0.743 0.496 0.078
O6 0.257 0.496 0.578
O7 0.830 0.000 0.750
O8 0.743 0.504 0.422
O9 0.257 0.996 0.922
O10 0.170 0.500 0.250
O11 0.257 0.504 0.922
O12 0.743 0.996 0.422

***

# LaAuO2

A relaxed structure of LaAuO2 (PBE-GGA, Alexandria via LeMat-Bulk).

Properties
- DOS(E_F): 0.000 states/eV per atom
- V: 77 Å³/cell
- ΔE_f (raw): -2207 meV/atom

Cell: 6.391 6.391 6.391 Å, 35.06 35.06 35.06°
Element x y z (fractional)
Au1 0.000 0.000 0.000
O1 0.112 0.112 0.112
O2 0.888 0.888 0.888
La1 0.500 0.500 0.500

***

# LaAuO3

A relaxed structure of LaAuO3 (PBE-GGA, Alexandria via LeMat-Bulk).

Properties
- V: 177 Å³/cell
- ΔE_f (raw): -1621 meV/atom

Cell: 3.771 7.456 7.284 Å, 90.00 90.00 120.35°
Element x y z (fractional)
O1 0.884 0.134 0.416
O2 0.568 0.318 0.750
O3 0.116 0.866 0.916
O4 0.116 0.866 0.584
O5 0.432 0.682 0.250
O6 0.884 0.134 0.084
La1 0.182 0.932 0.250
La2 0.818 0.068 0.750
Au1 0.866 0.616 0.750
Au2 0.134 0.384 0.250

***

# LaAuO2

A relaxed structure of LaAuO2 (PBE-GGA, Alexandria via LeMat-Bulk).

Properties
- DOS(E_F): 0.000 states/eV per atom
- V: 147 Å³/cell
- ΔE_f (raw): -2059 meV/atom

Cell: 3.921 5.640 6.851 Å, 83.40 78.35 88.81°
Element x y z (fractional)
O1 0.614 0.670 0.027
O2 0.054 0.196 0.212
O3 0.989 0.644 0.362
O4 0.447 0.138 0.696
Au1 0.586 0.410 0.840
Au2 0.741 0.876 0.549
La1 0.497 0.389 0.344
La2 0.110 0.904 0.015

***

# La5Au2O2

A relaxed structure of La5Au2O2 (PBE-GGA, Alexandria via LeMat-Bulk).

Properties
- DOS(E_F): 0.861 states/eV per atom
- V: 483 Å³/cell
- ΔE_f (raw): -1612 meV/atom

Cell: 7.089 7.101 10.810 Å, 108.74 108.71 91.24°
Element x y z (fractional)
O1 0.000 0.500 0.500
O2 0.662 0.164 0.000
O3 0.500 0.000 0.500
O4 0.338 0.836 0.000
Au1 0.084 0.123 0.705
Au2 0.916 0.877 0.295
Au3 0.379 0.418 0.295
Au4 0.621 0.582 0.705
La1 0.730 0.230 0.461
La2 0.681 0.821 0.000
La3 0.319 0.179 0.000
La4 0.249 0.249 0.499
La5 0.891 0.394 0.211
La6 0.320 0.817 0.211
La7 0.270 0.770 0.539
La8 0.109 0.606 0.789
La9 0.751 0.751 0.501
La10 0.680 0.183 0.789

***

# La3Au2O

A relaxed structure of La3Au2O (PBE-GGA, Alexandria via LeMat-Bulk).

Properties
- DOS(E_F): 0.764 states/eV per atom
- V: 318 Å³/cell
- ΔE_f (raw): -1426 meV/atom

Cell: 7.356 7.533 7.023 Å, 103.95 121.58 90.00°
Element x y z (fractional)
La1 0.406 0.250 0.000
La2 0.594 0.750 0.000
La3 0.924 0.526 0.721
La4 0.203 0.974 0.279
La5 0.076 0.474 0.279
La6 0.797 0.026 0.721
Au1 0.498 0.648 0.347
Au2 0.151 0.852 0.653
Au3 0.849 0.148 0.347
Au4 0.502 0.352 0.653
O1 0.912 0.750 0.000
O2 0.088 0.250 0.000

***

# LaAuO2

A relaxed structure of LaAuO2 (PBE-GGA, Alexandria via LeMat-Bulk).

Properties
- DOS(E_F): 0.000 states/eV per atom
- V: 158 Å³/cell
- ΔE_f (raw): -2212 meV/atom

Cell: 3.893 3.893 12.029 Å, 90.00 90.00 120.00°
Element x y z (fractional)
Au1 0.333 0.667 0.250
Au2 0.667 0.333 0.750
O1 0.667 0.333 0.581
O2 0.333 0.667 0.419
O3 0.667 0.333 0.919
O4 0.333 0.667 0.081
La1 0.000 0.000 0.500
La2 0.000 0.000 0.000

***

# La4Au2O

A relaxed structure of La4Au2O (PBE-GGA, Alexandria via LeMat-Bulk).

Properties
- DOS(E_F): 0.963 states/eV per atom
- V: 384 Å³/cell
- ΔE_f (raw): -1253 meV/atom

Cell: 7.043 7.131 8.422 Å, 90.00 114.72 90.00°
Element x y z (fractional)
Au1 0.871 0.524 0.743
Au2 0.129 0.476 0.257
Au3 0.371 0.976 0.743
Au4 0.629 0.024 0.257
O1 0.500 0.500 0.000
O2 0.000 0.000 0.000
La1 0.235 0.250 0.971
La2 0.319 0.544 0.638
La3 0.819 0.956 0.638
La4 0.265 0.750 0.029
La5 0.765 0.750 0.029
La6 0.181 0.044 0.362
La7 0.735 0.250 0.971
La8 0.681 0.456 0.362

***

# LaPAuO2

A relaxed structure of LaPAuO2 (PBE-GGA, Alexandria via LeMat-Bulk).

Properties
- DOS(E_F): 0.681 states/eV per atom
- V: 86 Å³/cell
- ΔE_f (raw): -688 meV/atom

Cell: 4.295 4.295 4.679 Å, 90.00 90.00 90.00°
Element x y z (fractional)
La1 0.500 0.500 0.500
P1 0.000 0.000 0.500
O1 0.500 0.000 0.000
O2 0.000 0.500 0.000
Au1 0.000 0.000 0.000

***

# LaPAuO2

A relaxed structure of LaPAuO2 (PBE-GGA, Alexandria via LeMat-Bulk).

Properties
- DOS(E_F): 0.647 states/eV per atom
- V: 119 Å³/cell
- ΔE_f (raw): -613 meV/atom

Cell: 4.147 4.147 6.897 Å, 90.00 90.00 90.00°
Each line ends with the local moment (μB).
Element x y z (fractional)
Au1 0.500 0.500 0.500  0.04
O1 0.000 0.500 0.000  0.14
O2 0.500 0.000 0.000  0.14
La1 0.000 0.000 0.000  0.14
P1 0.000 0.000 0.500  0.28

***

# La2PAuO

A relaxed structure of La2PAuO (PBE-GGA, Alexandria via LeMat-Bulk).

Properties
- DOS(E_F): 0.903 states/eV per atom
- V: 133 Å³/cell
- ΔE_f (raw): -424 meV/atom

Cell: 5.650 4.150 5.650 Å, 90.00 90.00 90.00°
Element x y z (fractional)
O1 0.000 0.500 0.000
Au1 0.000 0.000 0.000
La1 0.000 0.000 0.500
La2 0.500 0.000 0.000
P1 0.500 0.500 0.500

***

# LaPaAu2O8

A relaxed structure of LaPaAu2O8 (PBE-GGA, Alexandria via LeMat-Bulk).

Properties
- DOS(E_F): 0.341 states/eV per atom
- V: 192 Å³/cell
- ΔE_f (raw): -1466 meV/atom

Cell: 6.292 6.292 6.292 Å, 109.35 109.35 109.72°
Each line ends with the local moment (μB).
Element x y z (fractional)
O1 0.964 0.267 0.303  0.21
O2 0.282 0.448 0.165  0.02
O3 0.282 0.117 0.835  0.02
O4 0.733 0.036 0.697  0.21
O5 0.883 0.718 0.165  0.02
O6 0.964 0.661 0.697  0.21
O7 0.339 0.036 0.303  0.21
O8 0.552 0.718 0.835  0.02
Au1 0.500 0.500 0.000  0.02
Au2 0.750 0.250 0.500  0.60
La1 0.250 0.750 0.500  -0.01
Pa1 0.000 0.000 0.000  0.12

***

# LaPr2AuO5

A relaxed structure of LaPr2AuO5 (PBE-GGA, Alexandria via LeMat-Bulk).

Properties
- V: 281 Å³/cell
- ΔE_f (raw): -2340 meV/atom

Cell: 6.152 6.764 6.764 Å, 90.00 90.00 90.00°
Element x y z (fractional)
O1 0.240 0.676 0.824
O2 0.760 0.676 0.824
O3 0.500 0.500 0.500
O4 0.500 0.000 0.000
O5 0.760 0.824 0.324
O6 0.240 0.176 0.676
O7 0.240 0.824 0.324
O8 0.760 0.176 0.676
O9 0.240 0.324 0.176
O10 0.760 0.324 0.176
Pr1 0.500 0.163 0.337
Pr2 0.500 0.837 0.663
Pr3 0.500 0.663 0.163
Pr4 0.500 0.337 0.837
La1 0.000 0.000 0.000
La2 0.000 0.500 0.500
Au1 0.000 0.000 0.500
Au2 0.000 0.500 0.000

***

# RbLaAuO3

A relaxed structure of RbLaAuO3 (PBE-GGA, Alexandria via LeMat-Bulk).

Properties
- DOS(E_F): 0.885 states/eV per atom
- V: 272 Å³/cell
- ΔE_f (raw): -1637 meV/atom

Cell: 3.599 7.392 11.298 Å, 115.26 90.00 90.00°
Each line ends with the local moment (μB).
Element x y z (fractional)
O1 0.750 0.923 0.147  0.26
O2 0.250 0.710 0.364  0.02
O3 0.250 0.523 0.901  0.19
O4 0.250 0.077 0.853  0.26
O5 0.750 0.477 0.099  0.19
O6 0.750 0.290 0.636  0.02
La1 0.750 0.286 0.866  0.03
La2 0.250 0.714 0.134  0.03
Au1 0.750 0.860 0.438  0.01
Au2 0.250 0.140 0.562  0.01
Rb1 0.750 0.735 0.795  0.00
Rb2 0.250 0.265 0.205  0.00

***

# RbLaAu2O

A relaxed structure of RbLaAu2O (PBE-GGA, Alexandria via LeMat-Bulk).

Properties
- DOS(E_F): 0.142 states/eV per atom
- V: 171 Å³/cell
- ΔE_f (raw): -1076 meV/atom

Cell: 6.235 4.391 6.235 Å, 90.00 90.00 90.00°
Element x y z (fractional)
La1 0.000 0.000 0.000
Rb1 0.500 0.500 0.500
O1 0.000 0.500 0.000
Au1 0.500 0.000 0.000
Au2 0.000 0.000 0.500

***

# RbLa2AuO4

A relaxed structure of RbLa2AuO4 (PBE-GGA, Alexandria via LeMat-Bulk).

Properties
- DOS(E_F): 0.000 states/eV per atom
- V: 313 Å³/cell
- ΔE_f (raw): -2302 meV/atom

Cell: 3.875 6.947 12.104 Å, 90.00 90.00 106.20°
Element x y z (fractional)
O1 0.238 0.477 0.417
O2 0.000 0.000 0.500
O3 0.420 0.840 0.750
O4 0.000 0.000 0.000
O5 0.238 0.477 0.083
O6 0.762 0.523 0.583
O7 0.762 0.523 0.917
O8 0.580 0.160 0.250
La1 0.372 0.743 0.565
La2 0.372 0.743 0.935
La3 0.628 0.257 0.065
La4 0.628 0.257 0.435
Au1 0.241 0.481 0.250
Au2 0.759 0.519 0.750
Rb1 0.063 0.127 0.750
Rb2 0.937 0.873 0.250

***

# Rb2LaAuO4

A relaxed structure of Rb2LaAuO4 (PBE-GGA, Alexandria via LeMat-Bulk).

Properties
- DOS(E_F): 0.000 states/eV per atom
- V: 160 Å³/cell
- ΔE_f (raw): -1568 meV/atom

Cell: 5.940 5.940 5.940 Å, 102.78 112.92 112.92°
Element x y z (fractional)
Au1 0.000 0.500 0.500
Rb1 0.500 0.750 0.250
Rb2 0.000 0.000 0.000
O1 0.127 0.307 0.724
O2 0.873 0.597 0.179
O3 0.418 0.821 0.693
O4 0.582 0.276 0.403
La1 0.500 0.250 0.750

***

# RbLa2Au2O6

A relaxed structure of RbLa2Au2O6 (PBE-GGA, Alexandria via LeMat-Bulk).

Properties
- DOS(E_F): 0.395 states/eV per atom
- V: 242 Å³/cell
- ΔE_f (raw): -1631 meV/atom

Cell: 6.652 6.916 7.150 Å, 120.90 88.01 64.93°
Each line ends with the local moment (μB).
Element x y z (fractional)
La1 0.175 0.638 0.182  0.02
La2 0.825 0.362 0.818  0.02
O1 0.412 0.627 0.909  0.12
O2 0.077 0.514 0.822  0.07
O3 0.144 0.903 0.599  0.07
O4 0.856 0.097 0.401  0.07
O5 0.588 0.373 0.091  0.12
O6 0.923 0.486 0.178  0.07
Au1 0.825 0.284 0.258  0.19
Au2 0.175 0.716 0.742  0.19
Rb1 0.500 0.000 0.500  0.00

***

# RbLa2AuO5

A relaxed structure of RbLa2AuO5 (PBE-GGA, Alexandria via LeMat-Bulk).

Properties
- DOS(E_F): 0.152 states/eV per atom
- V: 308 Å³/cell
- ΔE_f (raw): -2025 meV/atom

Cell: 7.003 7.003 7.997 Å, 115.97 115.97 90.00°
Each line ends with the local moment (μB).
Element x y z (fractional)
La1 0.322 0.822 0.000  0.03
La2 0.822 0.678 0.000  0.03
La3 0.678 0.178 0.000  0.03
La4 0.178 0.322 0.000  0.03
O1 0.516 0.752 0.768  0.27
O2 0.500 0.500 0.000  0.08
O3 0.984 0.484 0.232  0.27
O4 0.484 0.248 0.232  0.27
O5 0.252 0.016 0.768  0.27
O6 0.016 0.516 0.768  0.27
O7 0.748 0.984 0.232  0.27
O8 0.000 0.000 0.000  0.08
O9 0.752 0.252 0.768  0.27
O10 0.248 0.748 0.232  0.27
Rb1 0.750 0.750 0.500  0.00
Rb2 0.250 0.250 0.500  0.00
Au1 0.750 0.250 0.500  0.60
Au2 0.250 0.750 0.500  0.60

***

# LaRhAuO2

A relaxed structure of LaRhAuO2 (PBE-GGA, Alexandria via LeMat-Bulk).

Properties
- DOS(E_F): 0.732 states/eV per atom
- V: 87 Å³/cell
- ΔE_f (raw): -735 meV/atom

Cell: 4.155 5.011 4.155 Å, 90.00 90.00 90.00°
Each line ends with the local moment (μB).
Element x y z (fractional)
La1 0.500 0.500 0.500  -0.01
O1 0.000 0.000 0.500  0.03
O2 0.500 0.000 0.000  0.13
Rh1 0.000 0.000 0.000  0.39
Au1 0.000 0.500 0.000  -0.01